No. 1
{"formula": "LaCl", "functional": "PBE-GGA", "state": "relaxed", "volume_a3_per_atom": 25.60, "raw_formation_energy_ev_per_atom": -1.54, "total_energy_ev_per_atom": -4.9272, "spacegroup": "R-3m", "cell": [[-4.564, 1.603, -0.264], [-4.370, -1.893, 0.887], [-3.538, 0.856, 3.197]], "species": ["Cl", "La"], "fractional_positions": [[0.000, 0.000, 0.000], [0.500, 0.500, 0.500]]}

***

No. 2
{"formula": "CsTbS2", "functional": "PBE-GGA", "state": "relaxed", "volume_a3_per_atom": 29.82, "raw_formation_energy_ev_per_atom": -1.82, "total_energy_ev_per_atom": -5.2524, "spacegroup": "R3m", "cell": [[4.113, 0.000, 0.000], [2.056, 3.562, 0.000], [2.056, 1.187, 8.144]], "species": ["S", "Cs", "Tb", "S"], "fractional_positions": [[0.061, 0.061, 0.816], [0.498, 0.498, 0.505], [0.667, 0.667, 0.999], [0.273, 0.273, 0.180]]}

***

No. 3
{"formula": "Tb8Co2S", "functional": "PBE-GGA", "state": "relaxed", "volume_a3_per_atom": 26.35, "raw_formation_energy_ev_per_atom": -0.41, "total_energy_ev_per_atom": -5.4474, "spacegroup": "C2/m", "cell": [[3.668, 0.000, -0.779], [-0.173, 8.639, -0.815], [0.029, -0.216, 9.161]], "species": ["Tb", "S", "Tb", "Tb", "Tb", "Tb", "Tb", "Co", "Tb", "Tb", "Co"], "fractional_positions": [[0.659, 0.976, 0.317], [0.500, 0.000, 0.000], [0.012, 0.222, 0.024], [0.341, 0.024, 0.683], [0.988, 0.778, 0.976], [0.785, 0.674, 0.571], [0.215, 0.326, 0.429], [0.816, 0.242, 0.631], [0.398, 0.436, 0.795], [0.602, 0.564, 0.205], [0.184, 0.758, 0.369]]}

***

No. 4
{"formula": "LaSbPt5", "functional": "PBE-GGA", "state": "relaxed", "volume_a3_per_atom": 19.29, "raw_formation_energy_ev_per_atom": -0.66, "total_energy_ev_per_atom": -6.2703, "spacegroup": "Pnma", "cell": [[-5.428, -0.624, 1.151], [0.496, -8.562, -2.302], [2.480, -2.619, 10.276]], "species": ["Sb", "Sb", "Sb", "Pt", "Pt", "Pt", "Pt", "Pt", "Pt", "Pt", "Pt", "Pt", "Pt", "Sb", "Pt", "Pt", "La", "Pt", "Pt", "Pt", "Pt", "Pt", "Pt", "La", "La", "Pt", "La", "Pt"], "fractional_positions": [[0.250, 0.344, 0.651], [0.250, 0.844, 0.849], [0.750, 0.156, 0.151], [0.250, 0.086, 0.480], [0.250, 0.421, 0.422], [0.750, 0.079, 0.922], [0.994, 0.429, 0.201], [0.506, 0.429, 0.201], [0.250, 0.586, 0.020], [0.994, 0.929, 0.299], [0.494, 0.571, 0.799], [0.750, 0.579, 0.578], [0.506, 0.929, 0.299], [0.750, 0.656, 0.349], [0.494, 0.071, 0.701], [0.250, 0.673, 0.271], [0.750, 0.750, 0.051], [0.006, 0.571, 0.799], [0.006, 0.071, 0.701], [0.750, 0.414, 0.980], [0.750, 0.327, 0.729], [0.250, 0.173, 0.229], [0.750, 0.914, 0.520], [0.250, 0.750, 0.551], [0.250, 0.250, 0.949], [0.250, 0.921, 0.078], [0.750, 0.250, 0.449], [0.750, 0.827, 0.771]]}

***

No. 5
{"formula": "KSrCo2", "functional": "PBE-GGA", "state": "relaxed", "delta_e_f_ev_per_atom": 0.77, "volume_a3_per_atom": 31.11, "polymorph_energy_kj_per_mol_fu": 152.4, "total_energy_ev_per_atom": -3.4821, "spacegroup": "P4/mmm", "cell": [[4.083, 0.001, 0.000], [-0.001, 4.083, 0.000], [0.000, 0.000, 7.464]], "species": ["Sr", "K", "Co", "Co"], "fractional_positions": [[0.500, 0.500, 0.750], [0.500, 0.500, 0.250], [0.000, 0.000, 0.894], [0.000, 0.000, 0.606]]}

***

No. 6
{"formula": "AlRu", "functional": "PBE-GGA", "state": "relaxed", "delta_e_f_ev_per_atom": -0.39, "volume_a3_per_atom": 14.04, "total_energy_ev_per_atom": -6.9025, "spacegroup": "P4/nmm", "cell": [[-1.608, -2.180, -1.542], [2.616, -0.922, -1.424], [0.999, -3.760, 4.273]], "species": ["Ru", "Al", "Ru", "Al"], "fractional_positions": [[0.500, 0.500, 0.222], [0.500, 0.500, 0.739], [0.000, 0.000, 0.528], [0.000, 0.000, 0.011]]}

***

No. 7
{"formula": "Ba2NaGd", "functional": "PBE-GGA", "state": "relaxed", "delta_e_f_ev_per_atom": 0.31, "volume_a3_per_atom": 45.79, "polymorph_energy_kj_per_mol_fu": 67.6, "total_energy_ev_per_atom": -4.5026, "spacegroup": "R-3m", "cell": [[-2.531, 1.618, -2.458], [-3.809, -0.219, 0.714], [-1.451, 12.484, 6.647]], "species": ["Na", "Ba", "Gd", "Ba"], "fractional_positions": [[0.500, 0.500, 0.500], [0.085, 0.085, 0.744], [0.000, 0.000, 0.000], [0.915, 0.915, 0.256]]}

***

No. 8
{"formula": "ZnAg4Pt", "functional": "PBE-GGA", "state": "relaxed", "delta_e_f_ev_per_atom": 0.27, "volume_a3_per_atom": 18.19, "total_energy_ev_per_atom": -2.8480, "spacegroup": "F-43m", "cell": [[-3.995, -0.983, 3.443], [-4.153, -3.041, -1.508], [-0.615, -4.913, 2.063]], "species": ["Ag", "Ag", "Zn", "Ag", "Pt", "Ag"], "fractional_positions": [[0.875, 0.375, 0.375], [0.375, 0.875, 0.375], [0.000, 0.000, 0.000], [0.375, 0.375, 0.875], [0.750, 0.750, 0.750], [0.375, 0.375, 0.375]]}